No. 1
VASP calculation (GGA-PBE) on KZn2Cr after structural relaxation.

Values from the calculation:
formation energy = 0.43 eV per atom
size of the total moment = 3.79 μB per cell
calculated volume = 24.2 Å³ per atom
raw total energy = -11.56 eV for the cell shown
relative energy among the computed polymorphs = 0.1090 eV/atom

a b c (Å): 3.0490 4.3294 7.3663
angles (deg): 90.00 94.24 90.00
Space group Pm (No. 6)
One atom of each set of equivalent atoms:
1 K 0.0000 0.0000 0.0000
2 Zn 0.5569 0.5000 0.3155
3 Zn 0.5945 0.0000 0.5562
4 Cr 0.1082 0.5000 0.6043

---

No. 2
VASP calculation (GGA-PBE) on KZnCr2 after structural relaxation.

Values from the calculation:
formation energy = 0.53 eV per atom
size of the total moment = 0.97 μB per cell
calculated volume = 20.2 Å³ per atom
raw total energy = -19.50 eV for the cell shown

a b c (Å): 3.1210 3.1218 8.2847
angles (deg): 90.00 90.10 90.00
Space group Pm (No. 6)
One atom of each set of equivalent atoms:
1 K 0.0000 0.0000 0.0000
2 Zn 0.5005 0.5000 0.6676
3 Cr 0.0004 0.0000 0.4780
4 Cr 0.4997 0.5000 0.3441

---

No. 3
VASP calculation (GGA-PBE) on KZr2Cr after structural relaxation.

Values from the calculation:
formation energy = 0.87 eV per atom
size of the total moment = 5.41 μB per cell
calculated volume = 25.3 Å³ per atom
raw total energy = -48.71 eV for the cell shown
relative energy among the computed polymorphs = 0.4635 eV/atom

a b c (Å): 3.0530 5.7517 11.5221
angles (deg): 90.00 90.00 90.00
Space group Immm (No. 71)
One atom of each set of equivalent atoms:
1 K 0.0000 0.0000 0.0000
2 Zr 0.0000 0.5000 0.2114
3 Cr 0.0000 0.0000 0.5000

---

No. 4
VASP calculation (GGA-PBE) on KZr2Cr after structural relaxation.

Values from the calculation:
formation energy = 1.01 eV per atom
size of the total moment = 7.29 μB per cell
calculated volume = 25.0 Å³ per atom
raw total energy = -47.54 eV for the cell shown
relative energy among the computed polymorphs = 0.6098 eV/atom

a b c (Å): 6.2689 11.6672 3.0401
angles (deg): 90.00 116.14 90.00
Space group C2/m (No. 12)
One atom of each set of equivalent atoms:
1 K 0.0000 0.0000 0.0000
2 Zr 0.2500 0.2500 0.5000
3 Cr 0.0000 0.5000 0.0000

---

No. 5
VASP calculation (GGA-PBE) on KZr2Cr after structural relaxation.

Values from the calculation:
formation energy = 1.03 eV per atom
size of the total moment = 3.83 μB per cell
calculated volume = 25.1 Å³ per atom
raw total energy = -23.72 eV for the cell shown
relative energy among the computed polymorphs = 0.6227 eV/atom

a b c (Å): 3.1302 5.4305 5.9030
angles (deg): 90.00 90.00 90.00
Space group Pmmm (No. 47)
One atom of each set of equivalent atoms:
1 K 0.0000 0.0000 0.0000
2 Zr 0.0000 0.5000 0.5000
3 Zr 0.5000 0.0000 0.5000
4 Cr 0.5000 0.5000 0.0000

---

No. 6
VASP calculation (GGA-PBE) on KZr3Cr after structural relaxation.

Values from the calculation:
formation energy = 2.41 eV per atom
size of the total moment = 0.89 μB per cell
calculated volume = 22.3 Å³ per atom
raw total energy = -24.32 eV for the cell shown

a b c (Å): 4.8134 4.8134 4.8134
angles (deg): 90.00 90.00 90.00
Space group Pm-3m (No. 221)
One atom of each set of equivalent atoms:
1 K 0.0000 0.0000 0.0000
2 Zr 0.0000 0.0000 0.5000
3 Cr 0.5000 0.5000 0.5000

---

No. 7
VASP calculation (GGA-PBE) on KZr2Cr after structural relaxation.

Values from the calculation:
formation energy = 0.75 eV per atom
size of the total moment = 1.24 μB per cell
calculated volume = 29.4 Å³ per atom
raw total energy = -49.64 eV for the cell shown
relative energy among the computed polymorphs = 0.3466 eV/atom

a b c (Å): 3.2063 4.3650 16.7987
angles (deg): 90.00 90.00 90.00
Space group Imm2 (No. 44)
One atom of each set of equivalent atoms:
1 K 0.0000 0.0000 0.0000
2 Zr 0.0000 0.0000 0.6832
3 Zr 0.0000 0.5000 0.8067
4 Cr 0.0000 0.5000 0.3060

---

No. 8
VASP calculation (GGA-PBE) on KZr2Cr after structural relaxation.

Values from the calculation:
formation energy = 1.10 eV per atom
size of the total moment = 4.97 μB per cell
calculated volume = 24.7 Å³ per atom
raw total energy = -93.67 eV for the cell shown
relative energy among the computed polymorphs = 0.6976 eV/atom

a b c (Å): 7.3430 7.3430 7.3430
angles (deg): 90.00 90.00 90.00
Space group F-43m (No. 216)
One atom of each set of equivalent atoms:
1 K 0.0000 0.0000 0.0000
2 Zr 0.0000 0.0000 0.5000
3 Zr 0.2500 0.2500 0.2500
4 Cr 0.2500 0.2500 0.7500

---

> What is the formula in the sixth record?

KZr3Cr

---

Copy entry 8 word for word.
VASP calculation (GGA-PBE) on KZr2Cr after structural relaxation.

Values from the calculation:
formation energy = 1.10 eV per atom
size of the total moment = 4.97 μB per cell
calculated volume = 24.7 Å³ per atom
raw total energy = -93.67 eV for the cell shown
relative energy among the computed polymorphs = 0.6976 eV/atom

a b c (Å): 7.3430 7.3430 7.3430
angles (deg): 90.00 90.00 90.00
Space group F-43m (No. 216)
One atom of each set of equivalent atoms:
1 K 0.0000 0.0000 0.0000
2 Zr 0.0000 0.0000 0.5000
3 Zr 0.2500 0.2500 0.2500
4 Cr 0.2500 0.2500 0.7500

---

> Among the records above, which one has the highest formation energy?

KZr3Cr

---

> Number 6 is which compound?

KZr3Cr